A | Below is Hg2PPb after structural relaxation, with properties calculated at the GGA-PBE level.

Lattice parameters (Å, degrees): 6.129 6.034 6.912 106.70 115.85 92.00
Atoms (fractional coordinates):
Pb (0.226, 0.422, 0.456)
Pb (0.774, 0.578, 0.544)
P (0.329, 0.973, 0.506)
P (0.671, 0.027, 0.494)
Hg (0.958, 0.226, 0.939)
Hg (0.042, 0.774, 0.061)
Hg (0.500, 0.500, 0.000)
Hg (0.500, 0.000, 0.000)

## Properties
space group: No. 2

B | Below is Hg2PPb after structural relaxation, with properties calculated at the GGA-PBE level.

Lattice parameters (Å, degrees): 3.647 3.647 7.226 90.00 90.00 90.00
Atoms (fractional coordinates):
Pb (0.500, 0.500, 0.750)
P (0.500, 0.500, 0.250)
Hg (0.000, 0.000, 0.458)
Hg (0.000, 0.000, 0.042)

## Properties
space group: No. 123

C | Below is Hg2PPb after structural relaxation, with properties calculated at the GGA-PBE level.

Lattice parameters (Å, degrees): 6.983 6.983 6.983 35.34 35.34 35.34
Atoms (fractional coordinates):
Pb (0.750, 0.750, 0.750)
P (0.250, 0.250, 0.250)
Hg (0.517, 0.517, 0.517)
Hg (0.983, 0.983, 0.983)

## Properties
space group: No. 166

What is the stability order? It is A, C, B, from most stable to least stable.

A | Below is Hg2PPb after structural relaxation, with properties calculated at the GGA-PBE level.

Lattice parameters (Å, degrees): 6.192 6.509 6.604 105.46 99.56 116.87
Atoms (fractional coordinates):
Hg (0.707, 0.914, 0.880)
Hg (0.997, 0.101, 0.372)
Hg (0.150, 0.807, 0.621)
Hg (0.493, 0.569, 0.395)
P (0.909, 0.381, 0.908)
P (0.806, 0.348, 0.567)
Pb (0.457, 0.384, 0.899)
Pb (0.314, 0.905, 0.192)

## Properties
space group: No. 1

B | Below is Hg2PPb after structural relaxation, with properties calculated at the GGA-PBE level.

Lattice parameters (Å, degrees): 3.942 4.196 6.497 70.86 90.00 90.00
Atoms (fractional coordinates):
Hg (0.000, 0.044, 0.034)
Hg (0.500, 0.448, 0.225)
Pb (0.500, 0.721, 0.686)
P (0.000, 0.286, 0.555)

## Properties
space group: No. 6

What is the stability order? It is A, B, from most stable to least stable.

A | Below is Hg2PPb after structural relaxation, with properties calculated at the GGA-PBE level.

Lattice parameters (Å, degrees): 6.244 6.253 6.348 115.08 101.35 95.78
Atoms (fractional coordinates):
Hg (0.166, 0.140, 0.134)
Hg (0.123, 0.591, 0.037)
Hg (0.644, 0.932, 0.433)
Hg (0.685, 0.838, 0.904)
Pb (0.151, 0.861, 0.588)
Pb (0.660, 0.374, 0.173)
P (0.548, 0.366, 0.717)
P (0.189, 0.319, 0.604)

## Properties
space group: No. 1

B | Below is Hg2PPb after structural relaxation, with properties calculated at the GGA-PBE level.

Lattice parameters (Å, degrees): 5.620 5.620 5.478 62.48 62.48 41.03
Atoms (fractional coordinates):
P (0.250, 0.250, 0.250)
Hg (0.967, 0.967, 0.036)
Hg (0.533, 0.533, 0.464)
Pb (0.750, 0.750, 0.750)

## Properties
space group: No. 12

C | Below is Hg2PPb after structural relaxation, with properties calculated at the GGA-PBE level.

Lattice parameters (Å, degrees): 6.352 5.821 11.572 90.00 97.37 90.00
Atoms (fractional coordinates):
Pb (0.234, 0.500, 0.445)
Pb (0.234, 0.000, 0.945)
Pb (0.766, 0.500, 0.555)
Pb (0.766, 0.000, 0.055)
Hg (0.675, 0.500, 0.279)
Hg (0.848, 0.500, 0.832)
Hg (0.675, 0.000, 0.779)
Hg (0.325, 0.000, 0.221)
Hg (0.152, 0.000, 0.668)
Hg (0.848, 0.000, 0.332)
Hg (0.152, 0.500, 0.168)
Hg (0.325, 0.500, 0.721)
P (0.338, 0.500, 0.962)
P (0.338, 0.000, 0.462)
P (0.662, 0.500, 0.038)
P (0.662, 0.000, 0.538)

## Properties
space group: No. 12

What is the stability order? It is C, A, B, from most stable to least stable.

A | Below is Hg2PPb after structural relaxation, with properties calculated at the GGA-PBE level.

Lattice parameters (Å, degrees): 4.126 4.126 7.656 75.86 75.86 60.39
Atoms (fractional coordinates):
Hg (0.239, 0.239, 0.283)
Hg (0.993, 0.993, 0.021)
Pb (0.773, 0.773, 0.696)
P (0.495, 0.495, 0.500)

## Properties
space group: No. 8

B | Below is Hg2PPb after structural relaxation, with properties calculated at the GGA-PBE level.

Lattice parameters (Å, degrees): 6.249 6.249 3.124 90.00 90.00 124.83
Atoms (fractional coordinates):
Pb (0.000, 0.500, 0.500)
Hg (0.500, 0.500, 0.000)
Hg (0.000, 0.000, 0.000)
P (0.500, 0.000, 0.500)

## Properties
space group: No. 65

C | Below is Hg2PPb after structural relaxation, with properties calculated at the GGA-PBE level.

Lattice parameters (Å, degrees): 5.184 5.184 5.184 119.52 119.52 90.84
Atoms (fractional coordinates):
Pb (0.750, 0.250, 0.500)
Hg (0.250, 0.750, 0.500)
Hg (0.000, 0.000, 0.000)
P (0.500, 0.500, 0.000)

## Properties
space group: No. 119

D | Below is Hg2PPb after structural relaxation, with properties calculated at the GGA-PBE level.

Lattice parameters (Å, degrees): 5.402 5.402 5.402 131.83 116.50 83.51
Atoms (fractional coordinates):
Hg (0.725, 0.225, 0.500)
Hg (0.984, 0.984, 0.000)
P (0.534, 0.534, 0.000)
Pb (0.258, 0.758, 0.500)

## Properties
space group: No. 44

What is the stability order? It is A, D, C, B, from most stable to least stable.

A | Below is Hg2PPb after structural relaxation, with properties calculated at the GGA-PBE level.

Lattice parameters (Å, degrees): 6.166 5.756 6.683 90.00 113.44 90.00
Atoms (fractional coordinates):
P (0.043, 0.000, 0.859)
P (0.957, 0.000, 0.141)
Hg (0.500, 0.000, 0.000)
Hg (0.500, 0.000, 0.500)
Hg (0.484, 0.500, 0.258)
Hg (0.516, 0.500, 0.742)
Pb (0.025, 0.500, 0.755)
Pb (0.975, 0.500, 0.245)

## Properties
space group: No. 10

B | Below is Hg2PPb after structural relaxation, with properties calculated at the GGA-PBE level.

Lattice parameters (Å, degrees): 4.252 4.252 5.509 90.00 90.00 90.00
Atoms (fractional coordinates):
P (0.500, 0.500, 0.500)
Pb (0.000, 0.000, 0.500)
Hg (0.500, 0.000, 0.000)
Hg (0.000, 0.500, 0.000)

## Properties
space group: No. 123

C | Below is Hg2PPb after structural relaxation, with properties calculated at the GGA-PBE level.

Lattice parameters (Å, degrees): 6.716 10.959 6.704 90.00 119.23 90.00
Atoms (fractional coordinates):
P (0.602, 0.000, 0.778)
P (0.917, 0.000, 0.096)
P (0.602, 0.500, 0.278)
P (0.917, 0.500, 0.596)
Pb (0.758, 0.000, 0.436)
Pb (0.758, 0.500, 0.936)
Pb (0.258, 0.500, 0.435)
Pb (0.258, 0.000, 0.935)
Hg (0.503, 0.244, 0.698)
Hg (0.503, 0.756, 0.698)
Hg (0.018, 0.243, 0.178)
Hg (0.503, 0.256, 0.198)
Hg (0.018, 0.743, 0.678)
Hg (0.018, 0.757, 0.178)
Hg (0.503, 0.744, 0.198)
Hg (0.018, 0.257, 0.678)

## Properties
space group: No. 8

What is the stability order? It is C, A, B, from most stable to least stable.

A | Below is Hg2PPb after structural relaxation, with properties calculated at the GGA-PBE level.

Lattice parameters (Å, degrees): 5.922 5.943 6.923 94.13 88.04 114.78
Atoms (fractional coordinates):
P (0.832, 0.033, 0.016)
P (0.168, 0.967, 0.984)
Hg (0.537, 0.614, 0.792)
Hg (0.463, 0.386, 0.208)
Hg (0.000, 0.500, 0.000)
Hg (0.000, 0.500, 0.500)
Pb (0.281, 0.083, 0.596)
Pb (0.719, 0.917, 0.404)

## Properties
space group: No. 2

B | Below is Hg2PPb after structural relaxation, with properties calculated at the GGA-PBE level.

Lattice parameters (Å, degrees): 6.099 6.292 6.299 116.77 93.92 93.73
Atoms (fractional coordinates):
Pb (0.255, 0.070, 0.604)
Pb (0.787, 0.399, 0.931)
P (0.199, 0.503, 0.576)
P (0.844, 0.426, 0.498)
Hg (0.716, 0.852, 0.616)
Hg (0.268, 0.831, 0.045)
Hg (0.773, 0.958, 0.168)
Hg (0.326, 0.383, 0.150)

## Properties
space group: No. 1

What is the stability order? It is B, A, from most stable to least stable.

A | Below is HgPPb after structural relaxation, with properties calculated at the GGA-PBE level.

Lattice parameters (Å, degrees): 4.324 4.324 10.602 115.29 115.29 85.68
Atoms (fractional coordinates):
Pb (0.834, 0.834, 0.127)
Pb (0.166, 0.166, 0.873)
P (0.879, 0.879, 0.536)
P (0.121, 0.121, 0.464)
Hg (0.585, 0.585, 0.738)
Hg (0.415, 0.415, 0.262)

## Properties
space group: No. 12

B | Below is HgPPb after structural relaxation, with properties calculated at the GGA-PBE level.

Lattice parameters (Å, degrees): 4.874 4.874 4.874 60.00 60.00 60.00
Atoms (fractional coordinates):
Hg (0.500, 0.500, 0.500)
Pb (0.000, 0.000, 0.000)
P (0.250, 0.250, 0.250)

## Properties
space group: No. 216

C | Below is HgPPb after structural relaxation, with properties calculated at the GGA-PBE level.

Lattice parameters (Å, degrees): 6.241 6.241 3.618 73.15 73.16 33.69
Atoms (fractional coordinates):
Hg (0.981, 0.981, 0.019)
Pb (0.693, 0.693, 0.307)
P (0.326, 0.326, 0.674)

## Properties
space group: No. 107

What is the stability order? It is A, B, C, from most stable to least stable.

A | Below is HgPPb3 after structural relaxation, with properties calculated at the GGA-PBE level.

Lattice parameters (Å, degrees): 5.633 5.633 5.633 90.00 90.00 90.00
Atoms (fractional coordinates):
Pb (0.000, 0.000, 0.500)
Pb (0.500, 0.000, 0.000)
Pb (0.000, 0.500, 0.000)
Hg (0.000, 0.000, 0.000)
P (0.500, 0.500, 0.500)

## Properties
space group: No. 221

B | Below is HgPPb3 after structural relaxation, with properties calculated at the GGA-PBE level.

Lattice parameters (Å, degrees): 5.525 5.525 5.525 90.00 90.00 90.00
Atoms (fractional coordinates):
Hg (0.500, 0.500, 0.500)
Pb (0.000, 0.500, 0.000)
Pb (0.000, 0.000, 0.500)
Pb (0.500, 0.000, 0.000)
P (0.000, 0.000, 0.000)

## Properties
space group: No. 221

What is the stability order? It is B, A, from most stable to least stable.

A | Below is Hg3PPb after structural relaxation, with properties calculated at the GGA-PBE level.

Lattice parameters (Å, degrees): 5.190 5.190 5.190 90.00 90.00 90.00
Atoms (fractional coordinates):
Hg (0.000, 0.500, 0.000)
Hg (0.500, 0.000, 0.000)
Hg (0.000, 0.000, 0.500)
P (0.000, 0.000, 0.000)
Pb (0.500, 0.500, 0.500)

## Properties
space group: No. 221

B | Below is Hg3PPb after structural relaxation, with properties calculated at the GGA-PBE level.

Lattice parameters (Å, degrees): 5.851 5.851 5.851 90.00 90.00 90.00
Atoms (fractional coordinates):
Hg (0.500, 0.000, 0.000)
Hg (0.000, 0.500, 0.000)
Hg (0.000, 0.000, 0.500)
Pb (0.000, 0.000, 0.000)
P (0.500, 0.500, 0.500)

## Properties
space group: No. 221

What is the stability order? It is A, B, from most stable to least stable.

A | Below is HgPPbS2 after structural relaxation, with properties calculated at the GGA-PBE level.

Lattice parameters (Å, degrees): 5.215 5.215 5.463 90.00 90.00 90.00
Atoms (fractional coordinates):
Hg (0.500, 0.500, 0.500)
Pb (0.000, 0.000, 0.000)
S (0.500, 0.000, 0.000)
S (0.000, 0.500, 0.000)
P (0.000, 0.000, 0.500)

## Properties
space group: No. 123

B | Below is HgPPbS2 after structural relaxation, with properties calculated at the GGA-PBE level.

Lattice parameters (Å, degrees): 5.364 5.364 5.140 90.00 90.00 90.00
Atoms (fractional coordinates):
Hg (0.000, 0.000, 0.000)
S (0.500, 0.000, 0.000)
S (0.000, 0.500, 0.000)
P (0.000, 0.000, 0.500)
Pb (0.500, 0.500, 0.500)

## Properties
space group: No. 123

What is the stability order? It is B, A, from most stable to least stable.